Material: K3Zn
Method: DFT, GGA-PBEsol
State: relaxed

Unit cell a=5.721 b=5.721 c=5.721 alpha=90.00 beta=90.00 gamma=90.00
Fractional positions:
K1 0.000 0.000 0.500
K2 0.000 0.500 0.000
K3 0.500 0.000 0.000
Zn1 0.500 0.500 0.500

- Uncorrected energy: -1.031 eV/atom
- Total magnetic moment: 0.000 μB per cell
- Formation energy: 215 meV per atom